1.
The following is a PBEsol calculation of crystalline Hf2Pt2Au at its relaxed geometry, from Alexandria via LeMat-Bulk.

## Properties
The formation energy comes out at -4.6 eV/f.u. The space group is P4/mbm (127). The calculation puts the total energy at -87.0 eV for the cell shown.

a b c (Å): 7.405 7.405 3.279
angles (deg): 90.00 90.00 90.00
Sites, in units of the cell vectors:
Hf1 0.170 0.330 0.000
Hf2 0.330 0.830 0.000
Hf3 0.670 0.170 0.000
Hf4 0.830 0.670 0.000
Pt1 0.131 0.631 0.500
Pt2 0.369 0.131 0.500
Pt3 0.631 0.869 0.500
Pt4 0.869 0.369 0.500
Au1 0.000 0.000 0.500
Au2 0.500 0.500 0.500

2.
The following is a PBEsol calculation of crystalline ScPtRh at its relaxed geometry, from Alexandria via LeMat-Bulk.

## Properties
The formation energy comes out at -1.9 eV/f.u. The space group is I4mm (107). The calculation puts the total energy at -23.6 eV for the cell shown.

a b c (Å): 5.330 5.330 5.330
angles (deg): 145.87 145.87 49.04
Sites, in units of the cell vectors:
Sc1 0.000 0.000 0.000
Pt1 0.335 0.335 0.000
Rh1 0.652 0.652 0.000

3.
The following is a PBEsol calculation of crystalline NiRh2Au at its relaxed geometry, from Alexandria via LeMat-Bulk.

## Properties
For the energy above the most stable polymorph in this dataset, the calculation gives 54 meV per atom. The formation energy comes out at 0.6 eV/f.u. The space group is P4/mmm (123). The calculation puts the total energy at -25.8 eV for the cell shown.

a b c (Å): 2.723 2.723 7.338
angles (deg): 90.00 90.00 90.00
Sites, in units of the cell vectors:
Ni1 0.000 0.000 0.000
Rh1 0.500 0.500 0.220
Rh2 0.500 0.500 0.780
Au1 0.000 0.000 0.500

4.
The following is a PBEsol calculation of crystalline TlSiBi2 at its relaxed geometry, from Alexandria via LeMat-Bulk.

## Properties
The space group is I-42d (122). The uncorrected formation energy is 239.6 meV/atom. The calculation puts the total energy at -32.0 eV for the cell shown.

a b c (Å): 6.716 6.716 6.716
angles (deg): 103.72 103.72 121.70
Sites, in units of the cell vectors:
Tl1 0.000 0.000 0.000
Tl2 0.750 0.250 0.500
Si1 0.250 0.750 0.500
Si2 0.500 0.500 0.000
Bi1 0.169 0.625 0.044
Bi2 0.375 0.419 0.544
Bi3 0.581 0.125 0.956
Bi4 0.875 0.831 0.456

5.
The following is a PBEsol calculation of crystalline MnTcRu2 at its relaxed geometry, from Alexandria via LeMat-Bulk.

## Properties
For the energy above the most stable polymorph in this dataset, the calculation gives 0 meV per atom. The formation energy comes out at 0.4 eV/f.u. The space group is I4/mmm (139). The calculation puts the total energy at -41.0 eV for the cell shown.

a b c (Å): 4.544 4.544 4.544
angles (deg): 131.36 131.36 71.23
Sites, in units of the cell vectors:
Mn1 0.000 0.000 0.000
Tc1 0.500 0.500 0.000
Ru1 0.250 0.750 0.500
Ru2 0.750 0.250 0.500

6.
The following is a PBEsol calculation of crystalline Cr4MoBr at its relaxed geometry, from Alexandria via LeMat-Bulk.

## Properties
The space group is F-43m (216). The uncorrected formation energy is 743.5 meV/atom. The calculation puts the total energy at -50.1 eV for the cell shown.

a b c (Å): 4.811 4.811 4.811
angles (deg): 60.00 60.00 60.00
Sites, in units of the cell vectors:
Cr1 0.125 0.125 0.125
Cr2 0.125 0.125 0.625
Cr3 0.125 0.625 0.125
Cr4 0.625 0.125 0.125
Mo1 0.500 0.500 0.500
Br1 0.750 0.750 0.750

7.
The following is a PBEsol calculation of crystalline KScNi2Ag at its relaxed geometry, from Alexandria via LeMat-Bulk.

## Properties
The formation energy comes out at 7.7 eV/f.u. The space group is P4/mmm (123). The calculation puts the total energy at -15.7 eV for the cell shown.

a b c (Å): 4.471 4.471 5.077
angles (deg): 90.00 90.00 90.00
Sites, in units of the cell vectors:
K1 0.000 0.000 0.000
Sc1 0.500 0.500 0.500
Ni1 0.000 0.500 0.000
Ni2 0.500 0.000 0.000
Ag1 0.000 0.000 0.500

8.
The following is a PBEsol calculation of crystalline ZnReIr2I at its relaxed geometry, from Alexandria via LeMat-Bulk.

## Properties
The space group is P4/mmm (123). The uncorrected formation energy is 2453.8 meV/atom. The calculation puts the total energy at -24.1 eV for the cell shown.

a b c (Å): 4.765 4.765 4.789
angles (deg): 90.00 90.00 90.00
Sites, in units of the cell vectors:
Zn1 0.000 0.000 0.000
Re1 0.500 0.500 0.000
Ir1 0.000 0.500 0.500
Ir2 0.500 0.000 0.500
I1 0.500 0.500 0.500

9.
The following is a PBEsol calculation of crystalline Y3Pt4 at its relaxed geometry, from Alexandria via LeMat-Bulk.

## Properties
The formation energy comes out at -8.2 eV/f.u. The space group is R-3 (148). The calculation puts the total energy at -113.1 eV for the cell shown.

a b c (Å): 7.763 7.763 7.763
angles (deg): 114.30 114.30 114.30
Sites, in units of the cell vectors:
Y1 0.027 0.405 0.280
Y2 0.280 0.027 0.405
Y3 0.405 0.280 0.027
Y4 0.595 0.720 0.973
Y5 0.720 0.973 0.595
Y6 0.973 0.595 0.720
Pt1 0.000 0.000 0.000
Pt2 0.060 0.225 0.552
Pt3 0.225 0.552 0.060
Pt4 0.448 0.940 0.775
Pt5 0.500 0.500 0.500
Pt6 0.552 0.060 0.225
Pt7 0.775 0.448 0.940
Pt8 0.940 0.775 0.448

10.
The following is a PBEsol calculation of crystalline Mn2PRh at its relaxed geometry, from Alexandria via LeMat-Bulk.

## Properties
The formation energy comes out at -0.4 eV/f.u. The space group is Pmmm (47). The calculation puts the total energy at -33.9 eV for the cell shown.

a b c (Å): 2.641 3.611 4.903
angles (deg): 90.00 90.00 90.00
Sites, in units of the cell vectors:
Mn1 0.000 0.000 0.238
Mn2 0.000 0.000 0.762
P1 0.500 0.500 0.000
Rh1 0.500 0.500 0.500

11.
The following is a PBEsol calculation of crystalline TlFe2Rh at its relaxed geometry, from Alexandria via LeMat-Bulk.

## Properties
For the energy above the most stable polymorph in this dataset, the calculation gives 0 meV per atom. The formation energy comes out at 1.0 eV/f.u. The space group is P4mm (99). The calculation puts the total energy at -27.7 eV for the cell shown.

a b c (Å): 3.012 3.012 6.290
angles (deg): 90.00 90.00 90.00
Sites, in units of the cell vectors:
Tl1 0.000 0.000 0.000
Fe1 0.000 0.000 0.474
Fe2 0.500 0.500 0.278
Rh1 0.500 0.500 0.705

12.
The following is a PBEsol calculation of crystalline MnBe2Cl at its relaxed geometry, from Alexandria via LeMat-Bulk.

## Properties
The space group is P4/mmm (123). The uncorrected formation energy is 532.3 meV/atom. The calculation puts the total energy at -17.6 eV for the cell shown.

a b c (Å): 4.096 4.096 2.799
angles (deg): 90.00 90.00 90.00
Sites, in units of the cell vectors:
Mn1 0.000 0.000 0.000
Be1 0.000 0.500 0.500
Be2 0.500 0.000 0.500
Cl1 0.500 0.500 0.000